[1]
The following is a GGA-PBE calculation of a relaxed NaSi2NiPt crystal, from Alexandria via LeMat-Bulk.

a b c (Å): 5.702 5.702 5.702
angles (deg): 138.41 138.41 60.27
Atoms (fractional coordinates):
Na 0.000 0.000 0.000
Si 0.378 0.378 0.000
Si 0.622 0.622 0.000
Ni 0.250 0.750 0.500
Pt 0.750 0.250 0.500

Results
formation energy (no corrections): -44.7 kJ per mole of atoms


[2]
The following is a GGA-PBE calculation of a relaxed Tb2Dy12Mg crystal, from Alexandria via LeMat-Bulk.

a b c (Å): 6.637 6.637 24.185
angles (deg): 94.04 94.04 116.41
Atoms (fractional coordinates):
Tb 0.023 0.023 0.287
Tb 0.475 0.475 0.733
Tb 0.525 0.525 0.267
Tb 0.977 0.977 0.713
Dy 0.004 0.569 0.194
Dy 0.050 0.539 0.327
Dy 0.142 0.662 0.556
Dy 0.150 0.150 0.151
Dy 0.161 0.707 0.066
Dy 0.170 0.170 0.570
Dy 0.293 0.839 0.934
Dy 0.338 0.858 0.444
Dy 0.345 0.345 0.420
Dy 0.375 0.375 0.893
Dy 0.431 0.996 0.806
Dy 0.461 0.950 0.673
Dy 0.539 0.050 0.327
Dy 0.569 0.004 0.194
Dy 0.625 0.625 0.107
Dy 0.655 0.655 0.580
Dy 0.662 0.142 0.556
Dy 0.707 0.161 0.066
Dy 0.830 0.830 0.430
Dy 0.839 0.293 0.934
Dy 0.850 0.850 0.849
Dy 0.858 0.338 0.444
Dy 0.950 0.461 0.673
Dy 0.996 0.431 0.806
Mg 0.223 0.223 0.017
Mg 0.777 0.777 0.983

Results
energy relative to the elements: 151.9 kJ/mol of formula units


[3]
The following is a GGA-PBE calculation of a relaxed Pm2DyPaCo2 crystal, from Alexandria via LeMat-Bulk.

a b c (Å): 8.014 8.014 8.014
angles (deg): 129.34 73.90 130.04
Atoms (fractional coordinates):
Pm 0.200 0.213 0.413
Pm 0.300 0.713 0.014
Pm 0.700 0.287 0.986
Pm 0.800 0.787 0.587
Dy 0.250 0.750 0.500
Dy 0.750 0.250 0.500
Pa 0.250 0.250 0.000
Pa 0.750 0.750 0.000
Co 0.086 0.792 0.878
Co 0.414 0.292 0.706
Co 0.586 0.708 0.294
Co 0.914 0.208 0.122

Results
energy relative to the elements: -115.1 kJ/mol of formula units


[4]
The following is a GGA-PBE calculation of a relaxed Zn2PdCl6 crystal, from Alexandria via LeMat-Bulk.

a b c (Å): 8.981 8.981 7.078
angles (deg): 113.20 113.20 71.75
Atoms (fractional coordinates):
Zn 0.121 0.331 0.177
Zn 0.331 0.121 0.677
Zn 0.669 0.879 0.323
Zn 0.879 0.669 0.823
Pd 0.319 0.681 0.250
Pd 0.681 0.319 0.750
Cl 0.122 0.186 0.393
Cl 0.160 0.541 0.912
Cl 0.186 0.122 0.893
Cl 0.236 0.558 0.416
Cl 0.442 0.764 0.084
Cl 0.459 0.840 0.588
Cl 0.541 0.160 0.412
Cl 0.558 0.236 0.916
Cl 0.764 0.442 0.584
Cl 0.814 0.878 0.107
Cl 0.840 0.459 0.088
Cl 0.878 0.814 0.607

Results
formation energy (no corrections): -83.6 kJ per mole of atoms